Entry from Alexandria: crystalline Mg2ZnCr at its relaxed geometry (PBE).

Cell and atoms, written as CIF:
```
data_Mg2ZnCr
_cell_length_a 3.615
_cell_length_b 4.508
_cell_length_c 8.880
_cell_angle_alpha 90.00
_cell_angle_beta 90.00
_cell_angle_gamma 90.00
_symmetry_space_group_name_H-M 'I m m 2'
_symmetry_Int_Tables_number 44
_symmetry_space_group_name_Hall 'I 2 -2'
loop_
_atom_site_label
_atom_site_type_symbol
_atom_site_fract_x
_atom_site_fract_y
_atom_site_fract_z
Mg1 Mg 0.000 0.000 0.000
Mg2 Mg 0.000 0.500 0.232
Zn1 Zn 0.000 0.500 0.745
Cr1 Cr 0.000 0.000 0.471
```

## Properties
total energy	-13.33	eV/f.u.
density of states at the Fermi level	0.432	states/eV/atom
formation energy from the elements	0.190	eV/atom



Entry from Alexandria: crystalline MgZnCr at its relaxed geometry (PBE).

Cell and atoms, written as CIF:
```
data_MgZnCr
_cell_length_a 2.648
_cell_length_b 2.648
_cell_length_c 12.731
_cell_angle_alpha 90.00
_cell_angle_beta 90.00
_cell_angle_gamma 90.00
_symmetry_space_group_name_H-M 'I 4 m m'
_symmetry_Int_Tables_number 107
_symmetry_space_group_name_Hall 'I 4 -2'
loop_
_atom_site_label
_atom_site_type_symbol
_atom_site_fract_x
_atom_site_fract_y
_atom_site_fract_z
Mg1 Mg 0.000 0.000 0.000
Zn1 Zn 0.000 0.000 0.681
Cr1 Cr 0.000 0.000 0.332
```

## Properties
total energy	-11.50	eV/f.u.
density of states at the Fermi level	0.754	states/eV/atom
formation energy from the elements	0.332	eV/atom
relative energy among the computed polymorphs	79.1	meV per atom



Entry from Alexandria: crystalline MgZn2Cr at its relaxed geometry (PBE).

Cell and atoms, written as CIF:
```
data_MgZn2Cr
_cell_length_a 3.816
_cell_length_b 3.816
_cell_length_c 18.287
_cell_angle_alpha 90.00
_cell_angle_beta 90.00
_cell_angle_gamma 90.00
_symmetry_space_group_name_H-M 'I -4 2 d'
_symmetry_Int_Tables_number 122
_symmetry_space_group_name_Hall 'I -4 2bw'
loop_
_atom_site_label
_atom_site_type_symbol
_atom_site_fract_x
_atom_site_fract_y
_atom_site_fract_z
Mg1 Mg 0.000 0.000 0.000
Zn1 Zn 0.225 0.250 0.625
Cr1 Cr 0.000 0.000 0.500
```

## Properties
total energy	-11.07	eV/f.u.
density of states at the Fermi level	0.698	states/eV/atom
formation energy from the elements	0.674	eV/atom



Entry from Alexandria: crystalline Mg2ZnCr at its relaxed geometry (PBE).

Cell and atoms, written as CIF:
```
data_Mg2ZnCr
_cell_length_a 5.919
_cell_length_b 7.926
_cell_length_c 3.116
_cell_angle_alpha 90.00
_cell_angle_beta 90.00
_cell_angle_gamma 90.00
_symmetry_space_group_name_H-M 'C m m m'
_symmetry_Int_Tables_number 65
_symmetry_space_group_name_Hall '-C 2 2'
loop_
_atom_site_label
_atom_site_type_symbol
_atom_site_fract_x
_atom_site_fract_y
_atom_site_fract_z
Mg1 Mg 0.250 0.250 0.000
Zn1 Zn 0.000 0.000 0.500
Cr1 Cr 0.000 0.500 0.500
```

## Properties
total energy	-13.12	eV/f.u.
density of states at the Fermi level	0.504	states/eV/atom
formation energy from the elements	0.242	eV/atom